Record 1
DFT (PBE-GGA) results for a relaxed structure of Cd2F3.

Unit cell a=5.776 b=5.776 c=5.776 alpha=65.70 beta=65.70 gamma=65.70
Positions (direct):
Cd 0.120 0.120 0.120
Cd 0.380 0.380 0.380
Cd 0.620 0.620 0.620
Cd 0.880 0.880 0.880
F 0.022 0.750 0.478
F 0.250 0.522 0.978
F 0.478 0.022 0.750
F 0.522 0.978 0.250
F 0.750 0.478 0.022
F 0.978 0.250 0.522

Results
- Size of the total moment: 0.00 μB/f.u.
- Total DFT energy (no corrections): -3.33 eV per atom
- Crystal system: trigonal
- Polymorph energy (0 for the lowest one): 82 meV/atom
- Uncorrected formation energy: -9.2 eV per formula unit
- SG: R-3c, No. 167

Record 2
DFT (PBE-GGA) results for a relaxed structure of BeF2.

Unit cell a=3.572 b=3.572 c=2.481 alpha=90.00 beta=90.00 gamma=120.00
Positions (direct):
Be 0.000 0.000 0.000
F 0.333 0.667 0.500
F 0.667 0.333 0.500

Results
- Size of the total moment: 0.00 μB/f.u.
- Total DFT energy (no corrections): -3.25 eV per atom
- Crystal system: hexagonal
- Polymorph energy (0 for the lowest one): 2515 meV/atom
- Uncorrected formation energy: -2.3 eV per formula unit
- SG: P6/mmm, No. 191

Record 3
DFT (PBE-GGA) results for a relaxed structure of RbSrTlPb.

Unit cell a=5.999 b=5.999 c=5.999 alpha=60.00 beta=60.00 gamma=60.00
Positions (direct):
Rb 0.000 0.000 0.000
Sr 0.500 0.500 0.500
Tl 0.250 0.250 0.250
Pb 0.750 0.750 0.750

Results
- Size of the total moment: 0.00 μB/f.u.
- Energy relative to the elements: -0.195 eV per atom
- Total DFT energy (no corrections): -2.38 eV per atom
- Crystal system: cubic
- SG: F-43m, No. 216